The following is a PBEsol calculation of a relaxed structure of KBe3Sb, from the Alexandria database.

a b c (Å): 4.8698 4.8698 4.8698
angles (deg): 90.00 90.00 90.00
With the nearest neighbours (Å) after each atom.
Fractional coordinates of all 5 atoms:
1 Sb 0.5000 0.5000 0.5000  12 Be 3.44
2 Be 0.0000 0.5000 0.0000  2 K 2.43
3 K 0.0000 0.0000 0.0000  6 Be 2.43
4 Be 0.5000 0.0000 0.0000  2 K 2.43
5 Be 0.0000 0.0000 0.5000  2 K 2.43

Values from the calculation:
Theoretical density, g cm⁻³: 2.702
DFT total energy, eV per cell: -6.683
SG: Pm-3m (221)
M_tot, Bohr magnetons per cell: 0.000

The following is a PBEsol calculation of a relaxed structure of KBe2Sb, from the Alexandria database.

a b c (Å): 4.0199 5.3540 5.3540
angles (deg): 67.62 67.95 67.95
With the nearest neighbours (Å) after each atom.
Fractional coordinates of all 4 atoms:
1 Sb 0.0000 0.5000 0.5000  4 Be 2.44
2 K 0.5000 0.0000 0.0000  8 Be 3.28, 4 Sb 3.59
3 Be 0.3259 0.6741 0.6741  2 Sb 2.44
4 Be 0.6741 0.3259 0.3259  2 Sb 2.44

Values from the calculation:
Theoretical density, g cm⁻³: 3.125
DFT total energy, eV per cell: -10.731
SG: Immm (71)
M_tot, Bohr magnetons per cell: 0.001